No. 1
DFT (PBE-GGA) results for an optimized crystal structure of Dy3ErCd2.

Lattice parameters (Å, degrees): 3.6228 3.6228 12.8109 90.00 90.00 90.00
Fractional coordinates of all 6 atoms:
Dy1 0.0000 0.0000 0.0000
Dy2 0.0000 0.0000 0.3100
Dy3 0.0000 0.0000 0.6900
Er1 0.5000 0.5000 0.5000
Cd1 0.5000 0.5000 0.1534
Cd2 0.5000 0.5000 0.8466

Values from the calculation:
- SG: No. 123
- DFT formation energy: -0.191 eV/atom
- DFT total energy: -21.3 eV for the cell shown
- Crystal system: tetragonal
- Volume: 168 Å³ per cell

=====

No. 2
DFT (PBE-GGA) results for an optimized crystal structure of DyEr5Cd4.

Lattice parameters (Å, degrees): 3.6448 3.6448 20.2433 90.00 90.00 90.00
Fractional coordinates of all 10 atoms:
Dy1 0.0000 0.0000 0.0000
Er1 0.5000 0.5000 0.1201
Er2 0.5000 0.5000 0.3121
Er3 0.5000 0.5000 0.5000
Er4 0.5000 0.5000 0.6879
Er5 0.5000 0.5000 0.8799
Cd1 0.0000 0.0000 0.2164
Cd2 0.0000 0.0000 0.4053
Cd3 0.0000 0.0000 0.5947
Cd4 0.0000 0.0000 0.7836

Values from the calculation:
- SG: No. 123
- DFT formation energy: -0.236 eV/atom
- DFT total energy: -33.4 eV for the cell shown
- Crystal system: tetragonal
- Volume: 269 Å³ per cell